1.
Entry from Alexandria: crystalline Tc2NiSb at its relaxed geometry (PBE).

```
data_Tc2NiSb
_chemical_formula_sum 'Tc2 Ni1 Sb1'
_cell_length_a 4.393
_cell_length_b 4.393
_cell_length_c 4.393
_cell_angle_alpha 60.00
_cell_angle_beta 60.00
_cell_angle_gamma 60.00
_space_group_name_H-M_alt 'P 1'
_space_group_IT_number 1
_space_group_name_Hall 'P 1'
loop_
_atom_site_label
_atom_site_type_symbol
_atom_site_fract_x
_atom_site_fract_y
_atom_site_fract_z
Sb1 Sb 0.500 0.500 0.500
Tc1 Tc 0.250 0.250 0.250
Tc2 Tc 0.750 0.750 0.750
Ni1 Ni 0.000 0.000 0.000
```

Summary:
- volume (Å³/cell) = 60
- formation energy from raw total energies (meV per atom) = 151.7
- DOS at the Fermi energy (states/eV/atom) = 1.076
- relative energy among the computed polymorphs (meV/atom) = 34

***

2.
Entry from Alexandria: crystalline Tc2NiSb at its relaxed geometry (PBE).

```
data_Tc2NiSb
_chemical_formula_sum 'Tc2 Ni1 Sb1'
_cell_length_a 4.714
_cell_length_b 4.714
_cell_length_c 4.714
_cell_angle_alpha 130.06
_cell_angle_beta 130.06
_cell_angle_gamma 73.31
_space_group_name_H-M_alt 'P 1'
_space_group_IT_number 1
_space_group_name_Hall 'P 1'
loop_
_atom_site_label
_atom_site_type_symbol
_atom_site_fract_x
_atom_site_fract_y
_atom_site_fract_z
Ni1 Ni 0.500 0.500 0.000
Sb1 Sb 0.750 0.250 0.500
Tc1 Tc 0.000 0.000 0.000
Tc2 Tc 0.250 0.750 0.500
```

Summary:
- volume (Å³/cell) = 60
- formation energy from raw total energies (meV per atom) = 118.1
- DOS at the Fermi energy (states/eV/atom) = 0.614
- relative energy among the computed polymorphs (meV/atom) = 0